[1]
Na2TlHgP, relaxed, DFT PBE; symmetry = P4/mmm; energy relative to the elements = 420 meV/atom
1.0
5.4637 0.0000 0.0000
0.0000 5.4637 0.0000
0.0000 0.0000 5.5762
Na Tl Hg P
2 1 1 1
Cartesian
0.0000 2.7319 0.0000
2.7319 0.0000 0.0000
0.0000 0.0000 2.7881
0.0000 0.0000 0.0000
2.7319 2.7319 2.7881

***

[2]
Na2TlHgP, relaxed, DFT PBE; symmetry = P4/mmm; energy relative to the elements = -85 meV/atom
1.0
5.4485 0.0000 0.0000
0.0000 5.4485 0.0000
0.0000 0.0000 5.3664
Na Tl Hg P
2 1 1 1
Cartesian
0.0000 2.7243 0.0000
2.7243 0.0000 0.0000
0.0000 0.0000 2.6832
2.7243 2.7243 2.6832
0.0000 0.0000 0.0000

***

[3]
NaHg2PW, relaxed, DFT PBE; symmetry = P4/mmm; energy relative to the elements = 742 meV/atom
1.0
5.2200 0.0000 0.0000
0.0000 5.2200 0.0000
0.0000 0.0000 4.5966
Na Hg P W
1 2 1 1
Cartesian
0.0000 0.0000 0.0000
0.0000 2.6100 2.2983
2.6100 0.0000 2.2983
2.6100 2.6100 2.2983
2.6100 2.6100 0.0000

***

[4]
NaPaHgSb, relaxed, DFT PBE; symmetry = F-43m; formation energy without anion corrections = -0.103 eV per atom
1.0
0.0000 3.7209 3.7209
3.7209 0.0000 3.7209
3.7209 3.7209 0.0000
Na Pa Hg Sb
1 1 1 1
Cartesian
0.0000 0.0000 0.0000
3.7209 3.7209 3.7209
5.5813 5.5813 5.5813
1.8604 1.8604 1.8604

***

[5]
Na3Pa2HgTe6, relaxed, DFT PBE; symmetry = C2/m; formation energy without anion corrections = -0.761 eV per atom
1.0
9.4790 -2.2256 0.0000
9.4790 2.2256 0.0000
-1.0185 0.0000 9.8229
Na Pa Hg Te
3 2 1 6
Cartesian
0.0000 0.0000 0.0000
6.3700 0.0000 5.8420
11.5695 0.0000 3.9808
6.0992 0.0000 1.5245
11.8404 0.0000 8.2984
-0.5092 0.0000 4.9114
3.1141 0.0000 0.6532
3.0024 0.0000 6.2947
8.8875 0.0000 2.2149
9.0520 0.0000 7.6080
14.9371 0.0000 3.5282
14.8255 0.0000 9.1697

***

[6]
Na3Hg4Pb2, relaxed, DFT PBE; symmetry = C2/m; energy relative to the elements = -164 meV/atom
1.0
6.1091 -2.5525 0.0000
6.1091 2.5525 0.0000
-4.6367 0.0000 8.1413
Na Hg Pb
3 4 2
Cartesian
0.0000 0.0000 0.0000
2.9312 0.0000 2.5417
4.6503 0.0000 5.5995
-1.2786 0.0000 3.0039
-1.1969 0.0000 7.4899
8.7784 0.0000 0.6514
8.8601 0.0000 5.1373
1.0383 0.0000 5.3358
6.5432 0.0000 2.8055

***

[7]
Na3Hg8Pb, relaxed, DFT PBE; symmetry = Cm; energy relative to the elements = -153 meV/atom
1.0
4.3871 -4.8810 0.0000
4.3871 4.8810 0.0000
-2.2547 0.0000 7.3356
Na Hg Pb
3 8 1
Cartesian
0.0000 0.0000 0.0000
2.0312 2.3989 4.5831
2.0312 -2.3989 4.5831
-0.2637 0.0000 4.7390
4.2616 2.4986 2.1862
2.1007 0.0000 2.4830
4.2117 2.3229 6.9984
4.3124 0.0000 4.7889
6.4074 0.0000 2.3701
4.2616 -2.4986 2.1862
4.2117 -2.3229 6.9984
1.8668 0.0000 7.2561

***

[8]
Na3Hg2Pb2, relaxed, DFT PBE; symmetry = C2/m; energy relative to the elements = -147 meV/atom
1.0
4.6201 -2.6838 0.0000
4.6201 2.6838 0.0000
-3.1879 0.0000 7.6206
Na Hg Pb
3 2 2
Cartesian
0.0000 0.0000 0.0000
-0.0425 0.0000 3.2601
6.0949 0.0000 4.3605
-0.0860 0.0000 6.3446
6.1383 0.0000 1.2760
3.0524 0.0000 2.0376
2.9999 0.0000 5.5830

***

Number 1: DOS at the Fermi energy 1.70 states/eV/f.u.. Number 2: DOS at the Fermi energy 2.21 states/eV/f.u.. Number 3: DOS at the Fermi energy 1.37 states/eV/f.u.. Number 4: DOS at the Fermi energy 6.86 states/eV/f.u.. Number 5: DOS at the Fermi energy 7.14 states/eV/f.u.. Number 6: DOS at the Fermi energy 3.40 states/eV/f.u.. Number 7: DOS at the Fermi energy 4.18 states/eV/f.u.. Number 8: DOS at the Fermi energy 3.70 states/eV/f.u..